1.
Compound: Cs3PtF
Source: Alexandria
Functional: PBE-GGA
Structure: relaxed

Values from the calculation:
Space group = Pm-3m, No. 221
M_tot = 0.000 Bohr magnetons per cell
Final energy = -3.107 eV per atom

Cell lengths 5.747, 5.747, 5.747 Å; angles 90.00, 90.00, 90.00 degrees
Sites, in units of the cell vectors:
Cs  0.000  0.000  0.500
Cs  0.000  0.500  0.000
Cs  0.500  0.000  0.000
Pt  0.500  0.500  0.500
F  0.000  0.000  0.000

***

2.
Compound: CsPt3F
Source: Alexandria
Functional: PBE-GGA
Structure: relaxed

Values from the calculation:
Space group = Pm-3m, No. 221
M_tot = 0.001 Bohr magnetons per cell
Final energy = -2.172 eV per atom

Cell lengths 5.237, 5.237, 5.237 Å; angles 90.00, 90.00, 90.00 degrees
Sites, in units of the cell vectors:
Cs  0.000  0.000  0.000
Pt  0.000  0.000  0.500
Pt  0.000  0.500  0.000
Pt  0.500  0.000  0.000
F  0.500  0.500  0.500

***

3.
Compound: CsPtF3
Source: Alexandria
Functional: PBE-GGA
Structure: relaxed

Values from the calculation:
Space group = Pm-3m, No. 221
M_tot = 0.000 Bohr magnetons per cell
Final energy = -4.073 eV per atom

Cell lengths 4.347, 4.347, 4.347 Å; angles 90.00, 90.00, 90.00 degrees
Sites, in units of the cell vectors:
Cs  0.000  0.000  0.000
Pt  0.500  0.500  0.500
F  0.000  0.500  0.500
F  0.500  0.000  0.500
F  0.500  0.500  0.000

***

4.
Compound: Cs2PtF6
Source: Alexandria
Functional: PBE-GGA
Structure: relaxed

Values from the calculation:
Space group = P-3m1, No. 164
M_tot = 0.012 Bohr magnetons per cell
Final energy = -4.283 eV per atom

Cell lengths 6.333, 6.333, 5.188 Å; angles 90.00, 90.00, 120.00 degrees
Sites, in units of the cell vectors:
Cs  0.333  0.667  0.209
Cs  0.667  0.333  0.791
Pt  0.000  0.000  0.500
F  0.151  0.302  0.710
F  0.151  0.849  0.710
F  0.302  0.151  0.290
F  0.698  0.849  0.710
F  0.849  0.151  0.290
F  0.849  0.698  0.290

***

5.
Compound: Cs5PtF
Source: Alexandria
Functional: PBE-GGA
Structure: relaxed

Values from the calculation:
Space group = C2/c, No. 15
M_tot = 0.000 Bohr magnetons per cell
Final energy = -2.479 eV per atom

Cell lengths 9.308, 9.308, 12.973 Å; angles 109.96, 109.96, 91.19 degrees
Sites, in units of the cell vectors:
Cs  0.153  0.654  0.350
Cs  0.172  0.828  0.750
Cs  0.310  0.312  0.569
Cs  0.312  0.310  0.069
Cs  0.346  0.847  0.150
Cs  0.654  0.153  0.850
Cs  0.688  0.690  0.931
Cs  0.690  0.688  0.431
Cs  0.828  0.172  0.250
Cs  0.847  0.346  0.650
Pt  0.000  0.500  0.500
Pt  0.500  0.000  0.000
F  0.392  0.608  0.250
F  0.608  0.392  0.750

***

6.
Compound: Cs2PtF5
Source: Alexandria
Functional: PBE-GGA
Structure: relaxed

Values from the calculation:
Space group = I4mm, No. 107
M_tot = 0.949 Bohr magnetons per cell
Final energy = -4.182 eV per atom

Cell lengths 6.397, 6.397, 6.397 Å; angles 117.97, 117.97, 93.56 degrees
Sites, in units of the cell vectors:
Cs  0.000  0.500  0.500
Cs  0.500  0.000  0.500
Pt  0.249  0.249  0.000
F  0.030  0.030  0.572
F  0.030  0.459  0.000
F  0.459  0.030  0.000
F  0.459  0.459  0.428
F  0.492  0.492  0.000

***

7.
Compound: CsRb2PtF6
Source: Alexandria
Functional: PBE-GGA
Structure: relaxed

Values from the calculation:
Space group = I4/mmm, No. 139
M_tot = 1.000 Bohr magnetons per cell
Final energy = -4.122 eV per atom

Cell lengths 6.818, 6.818, 6.818 Å; angles 118.80, 118.80, 92.09 degrees
Sites, in units of the cell vectors:
Cs  0.000  0.000  0.000
Rb  0.250  0.750  0.500
Rb  0.750  0.250  0.500
Pt  0.500  0.500  0.000
F  0.281  0.281  0.562
F  0.281  0.719  0.000
F  0.290  0.290  0.000
F  0.710  0.710  0.000
F  0.719  0.281  0.000
F  0.719  0.719  0.438

***

8.
Compound: Cs2RbPtF6
Source: Alexandria
Functional: PBE-GGA
Structure: relaxed

Values from the calculation:
Space group = R-3m, No. 166
M_tot = 2.135 Bohr magnetons per cell
Final energy = -4.147 eV per atom

Cell lengths 12.165, 12.165, 12.165 Å; angles 32.52, 32.52, 32.52 degrees
Sites, in units of the cell vectors:
Cs  0.140  0.140  0.140
Cs  0.264  0.264  0.264
Cs  0.736  0.736  0.736
Cs  0.860  0.860  0.860
Rb  0.405  0.405  0.405
Rb  0.595  0.595  0.595
Pt  0.000  0.000  0.000
Pt  0.500  0.500  0.500
F  0.146  0.620  0.620
F  0.169  0.169  0.762
F  0.169  0.762  0.169
F  0.238  0.831  0.831
F  0.380  0.380  0.854
F  0.380  0.854  0.380
F  0.620  0.146  0.620
F  0.620  0.620  0.146
F  0.762  0.169  0.169
F  0.831  0.238  0.831
F  0.831  0.831  0.238
F  0.854  0.380  0.380

***

9.
Compound: Cs2RbPtF8
Source: Alexandria
Functional: PBE-GGA
Structure: relaxed

Values from the calculation:
Space group = P-3m1, No. 164
M_tot = 1.190 Bohr magnetons per cell
Final energy = -3.979 eV per atom

Cell lengths 6.239, 6.239, 8.004 Å; angles 90.00, 90.00, 120.00 degrees
Sites, in units of the cell vectors:
Cs  0.333  0.667  0.310
Cs  0.667  0.333  0.690
Rb  0.000  0.000  0.000
Pt  0.000  0.000  0.500
F  0.146  0.293  0.646
F  0.146  0.854  0.646
F  0.293  0.146  0.354
F  0.333  0.667  0.970
F  0.667  0.333  0.030
F  0.707  0.854  0.646
F  0.854  0.146  0.354
F  0.854  0.707  0.354

***

10.
Compound: Cs2PtRhF6
Source: Alexandria
Functional: PBE-GGA
Structure: relaxed

Values from the calculation:
Space group = I4/mmm, No. 139
M_tot = 1.000 Bohr magnetons per cell
Final energy = -4.331 eV per atom

Cell lengths 6.259, 6.259, 6.259 Å; angles 119.75, 119.75, 90.44 degrees
Sites, in units of the cell vectors:
Cs  0.250  0.750  0.500
Cs  0.750  0.250  0.500
Pt  0.000  0.000  0.000
Rh  0.500  0.500  0.000
F  0.260  0.260  0.000
F  0.262  0.262  0.524
F  0.262  0.738  0.000
F  0.738  0.262  0.000
F  0.738  0.738  0.476
F  0.740  0.740  0.000

***

11.
Compound: Cs2PtSeF
Source: Alexandria
Functional: PBE-GGA
Structure: relaxed

Values from the calculation:
Space group = P4/mmm, No. 123
M_tot = 0.000 Bohr magnetons per cell
Final energy = -3.633 eV per atom

Cell lengths 6.901, 6.901, 4.574 Å; angles 90.00, 90.00, 90.00 degrees
Sites, in units of the cell vectors:
Cs  0.000  0.500  0.000
Cs  0.500  0.000  0.000
Pt  0.000  0.000  0.500
Se  0.000  0.000  0.000
F  0.500  0.500  0.500

***

12.
Compound: Cs2PtSeF6
Source: Alexandria
Functional: PBE-GGA
Structure: relaxed

Values from the calculation:
Space group = I4/mmm, No. 139
M_tot = 0.000 Bohr magnetons per cell
Final energy = -3.972 eV per atom

Cell lengths 6.905, 6.905, 6.905 Å; angles 126.85, 126.85, 78.49 degrees
Sites, in units of the cell vectors:
Cs  0.250  0.750  0.500
Cs  0.750  0.250  0.500
Pt  0.000  0.000  0.000
Se  0.500  0.500  0.000
F  0.188  0.188  0.000
F  0.261  0.261  0.523
F  0.261  0.739  0.000
F  0.739  0.261  0.000
F  0.739  0.739  0.477
F  0.812  0.812  0.000